A geometry-optimized Sm3YTm6 structure. Source: the Alexandria database, functional GGA-PBE.

Computed properties:
energy above the most stable polymorph in this dataset	0.259	kcal/mol of atoms
ΔH_f (0 K)	168.4	meV per atom
VASP energy	-4.5767	eV/atom

Cell lengths 6.4860, 6.4922, 9.4518 Å; angles 89.90, 70.20, 60.22 degrees
Element x y z (fractional)
Sm: 0.0000 0.0000 0.0000
Sm: 0.3032 0.5583 0.6914
Sm: 0.6968 0.4417 0.3086
Y: 0.0000 0.5000 0.5000
Tm: 0.1267 0.8696 0.3129
Tm: 0.3038 0.3488 0.0522
Tm: 0.4446 0.9944 0.6871
Tm: 0.5554 0.0056 0.3129
Tm: 0.6962 0.6512 0.9478
Tm: 0.8733 0.1304 0.6871


A geometry-optimized CdBi2AuCl structure. Source: the Alexandria database, functional GGA-PBE.

Computed properties:
formation energy without anion corrections	298	meV per atom
VASP energy	-2.4623	eV/atom

Cell lengths 5.6616, 5.6616, 4.9351 Å; angles 90.00, 90.00, 90.00 degrees
Element x y z (fractional)
Cd: 0.0000 0.0000 0.0000
Bi: 0.0000 0.5000 0.5000
Bi: 0.5000 0.0000 0.5000
Au: 0.5000 0.5000 0.5000
Cl: 0.5000 0.5000 0.0000


A geometry-optimized NdY12Er2 structure. Source: the Alexandria database, functional GGA-PBE.

Computed properties:
ΔH_f (0 K)	333.7	meV per atom
VASP energy	-5.7638	eV/atom

Cell lengths 6.4150, 6.4150, 25.2025 Å; angles 90.00, 90.00, 90.00 degrees
Element x y z (fractional)
Nd: 0.2500 0.7500 0.0000
Nd: 0.7500 0.2500 0.0000
Y: 0.0676 0.5676 0.1172
Y: 0.0676 0.9324 0.8828
Y: 0.0813 0.5813 0.4389
Y: 0.0813 0.9187 0.5611
Y: 0.2500 0.2500 0.2168
Y: 0.2500 0.2500 0.3394
Y: 0.2500 0.2500 0.6606
Y: 0.2500 0.2500 0.7832
Y: 0.4187 0.5813 0.5611
Y: 0.4187 0.9187 0.4389
Y: 0.4324 0.5676 0.8828
Y: 0.4324 0.9324 0.1172
Y: 0.5676 0.0676 0.8828
Y: 0.5676 0.4324 0.1172
Y: 0.5813 0.0813 0.5611
Y: 0.5813 0.4187 0.4389
Y: 0.7500 0.7500 0.2168
Y: 0.7500 0.7500 0.3394
Y: 0.7500 0.7500 0.6606
Y: 0.7500 0.7500 0.7832
Y: 0.9187 0.0813 0.4389
Y: 0.9187 0.4187 0.5611
Y: 0.9324 0.0676 0.1172
Y: 0.9324 0.4324 0.8828
Er: 0.2500 0.7500 0.2758
Er: 0.2500 0.7500 0.7242
Er: 0.7500 0.2500 0.2758
Er: 0.7500 0.2500 0.7242


A geometry-optimized TbGdHoTl structure. Source: the Alexandria database, functional GGA-PBE.

Computed properties:
ΔH_f (0 K)	-59.5	meV per atom
VASP energy	-6.4733	eV/atom

Cell lengths 5.4793, 5.4793, 5.4793 Å; angles 60.00, 60.00, 60.00 degrees
Element x y z (fractional)
Tb: 0.0000 0.0000 0.0000
Gd: 0.5000 0.5000 0.5000
Ho: 0.2500 0.2500 0.2500
Tl: 0.7500 0.7500 0.7500